This record from Alexandria describes NaLi3 after structural relaxation. The functional is PBEsol.

Unit cell a=6.5171 b=6.5171 c=5.2255 alpha=90.00 beta=90.00 gamma=120.00
Closest atoms and distances in Å follow each position.
Positions (direct):
Na: 0.3333 0.6667 0.2500  12 Li 3.26-3.28
Na: 0.6667 0.3333 0.7500  12 Li 3.26-3.28
Li: 0.1583 0.3166 0.7500  8 Li 3.09-3.42, 4 Na 3.26-3.28
Li: 0.1583 0.8417 0.7500  8 Li 3.09-3.42, 4 Na 3.26-3.28
Li: 0.3166 0.1583 0.2500  8 Li 3.09-3.42, 4 Na 3.26-3.28
Li: 0.6834 0.8417 0.7500  8 Li 3.09-3.42, 4 Na 3.26-3.28
Li: 0.8417 0.1583 0.2500  8 Li 3.09-3.42, 4 Na 3.26-3.28
Li: 0.8417 0.6834 0.2500  8 Li 3.09-3.42, 4 Na 3.26-3.28

Results
The formation energy comes out at 0.039 eV/atom. For the energy relative to the lowest polymorph listed for this composition, the calculation gives 0 meV/atom. As for the total energy: -1.786 eV/atom.

***

This record from Alexandria describes CuRh5 after structural relaxation. The functional is PBEsol.

Unit cell a=5.9568 b=5.9568 c=3.7389 alpha=90.00 beta=90.00 gamma=143.21
Closest atoms and distances in Å follow each position.
Positions (direct):
Cu: 0.0000 0.0000 0.0000  12 Rh 2.64-2.68
Rh: 0.1646 0.8354 0.5000  2 Cu 2.64, 10 Rh 2.65-2.69
Rh: 0.3310 0.6690 0.0000  10 Rh 2.62-2.67, 2 Cu 2.68
Rh: 0.5000 0.5000 0.5000  8 Rh 2.65-2.67, 4 Cu 2.65
Rh: 0.6690 0.3310 0.0000  10 Rh 2.62-2.67, 2 Cu 2.68
Rh: 0.8354 0.1646 0.5000  2 Cu 2.64, 10 Rh 2.65-2.69

Results
The formation energy comes out at 0.079 eV/atom. For the energy relative to the lowest polymorph listed for this composition, the calculation gives 6 meV/atom. As for the total energy: -7.425 eV/atom.

***

This record from Alexandria describes FeRe2Cl after structural relaxation. The functional is PBEsol.

Unit cell a=2.7349 b=4.4830 c=4.6460 alpha=90.00 beta=90.00 gamma=90.00
Closest atoms and distances in Å follow each position.
Positions (direct):
Fe: 0.0000 0.0000 0.0000  4 Re 2.63, 4 Cl 2.70, 2 Fe 2.73
Re: 0.0000 0.5000 0.5000  4 Cl 2.63, 6 Re 2.70-2.73
Re: 0.5000 0.5000 0.0000  4 Fe 2.63, 6 Re 2.70-2.73
Cl: 0.5000 0.0000 0.5000  4 Re 2.63, 4 Fe 2.70, 2 Cl 2.73

Results
For the energy relative to the lowest polymorph listed for this composition, the calculation gives 443 meV/atom. The calculation puts the uncorrected formation energy at 0.9266 eV/atom. As for the total energy: -8.482 eV/atom.

***

This record from Alexandria describes KZrBe after structural relaxation. The functional is PBEsol.

Unit cell a=4.7386 b=4.7386 c=4.7386 alpha=60.00 beta=60.00 gamma=60.00
Closest atoms and distances in Å follow each position.
Positions (direct):
K: 0.0000 0.0000 0.0000  4 Be 2.90
Zr: 0.5000 0.5000 0.5000  4 Be 2.90
Be: 0.2500 0.2500 0.2500  4 Zr 2.90, 4 K 2.90

Results
The formation energy comes out at 1.447 eV/atom. As for the total energy: -3.294 eV/atom.

***

This record from Alexandria describes KSr2Hg2 after structural relaxation. The functional is PBEsol.

Unit cell a=9.1048 b=9.1048 c=4.2321 alpha=90.00 beta=90.00 gamma=90.00
Closest atoms and distances in Å follow each position.
Positions (direct):
K: 0.0000 0.0000 0.0000  4 Hg 3.53
K: 0.5000 0.5000 0.0000  4 Hg 3.53
Sr: 0.1531 0.3469 0.5000  6 Hg 3.39-3.44
Sr: 0.3469 0.8469 0.5000  6 Hg 3.39-3.44
Sr: 0.6531 0.1531 0.5000  6 Hg 3.39-3.44
Sr: 0.8469 0.6531 0.5000  6 Hg 3.39-3.44
Hg: 0.1367 0.6367 0.0000  6 Sr 3.39-3.44, 1 Hg 3.52, 2 K 3.53
Hg: 0.3633 0.1367 0.0000  6 Sr 3.39-3.44, 1 Hg 3.52, 2 K 3.53
Hg: 0.6367 0.8633 0.0000  6 Sr 3.39-3.44, 1 Hg 3.52, 2 K 3.53
Hg: 0.8633 0.3633 0.0000  6 Sr 3.39-3.44, 1 Hg 3.52, 2 K 3.53

Results
The formation energy comes out at -0.372 eV/atom. For the energy relative to the lowest polymorph listed for this composition, the calculation gives 0 meV/atom. As for the total energy: -1.561 eV/atom.

***

This record from Alexandria describes YAs2Ir after structural relaxation. The functional is PBEsol.

Unit cell a=5.9033 b=5.9033 c=5.9033 alpha=39.43 beta=39.43 gamma=39.43
Closest atoms and distances in Å follow each position.
Positions (direct):
Y: 0.0000 0.0000 0.0000  6 As 2.83
As: 0.2318 0.2318 0.2318  3 Ir 2.53, 3 Y 2.83
As: 0.7682 0.7682 0.7682  3 Ir 2.53, 3 Y 2.83
Ir: 0.5000 0.5000 0.5000  6 As 2.53

Results
The formation energy comes out at -0.836 eV/atom. For the energy relative to the lowest polymorph listed for this composition, the calculation gives 0 meV/atom. As for the total energy: -7.551 eV/atom.